DFT (PBE+U) results for a relaxed structure of Li2V3CoO8.

Lattice parameters (Å, degrees): 5.9314 5.9339 10.0549 74.32 74.52 60.53
Sites, in units of the cell vectors:
Li 0.0000 0.0000 0.0000
Li 0.1190 0.1218 0.6216
Li 0.5088 0.5019 0.4946
Li 0.6313 0.6284 0.1277
V 0.0590 0.5608 0.8122
V 0.0718 0.0684 0.3062
V 0.0729 0.5677 0.3128
V 0.5560 0.0581 0.8091
V 0.5636 0.5536 0.8142
V 0.5722 0.0670 0.3129
Co 0.3190 0.3174 0.0618
Co 0.8129 0.8057 0.5581
O 0.1738 0.6957 0.4230
O 0.1984 0.2219 0.9281
O 0.2047 0.1993 0.4188
O 0.2220 0.6540 0.9277
O 0.4269 0.4196 0.1898
O 0.4269 0.4267 0.7031
O 0.4286 0.9855 0.1860
O 0.4497 0.9243 0.7054
O 0.6527 0.1995 0.9282
O 0.6959 0.6919 0.9209
O 0.7045 0.1632 0.4250
O 0.7094 0.7045 0.4206
O 0.9006 0.4555 0.7034
O 0.9234 0.9020 0.7008
O 0.9334 0.9310 0.2017
O 0.9880 0.4298 0.1859

Summary:
The density of states at the Fermi level is 0.0 states/eV/f.u. The space group is P1 (1). As for the crystal system: triclinic. The energy above the most stable polymorph in this dataset is 0.0588 eV per atom.